No. 1
Compound: LiCaSb2
Source: Alexandria
Functional: GGA-PBE
Structure: optimized geometry

Properties
**ρ**: 4.7 Mg/m³
**DOS at the Fermi energy**: 0.95 states/eV/cell
**Uncorrected formation energy**: -597 meV/atom
**Total moment**: 0.00 μB per formula unit
**Offset from the most stable computed form**: 25 meV/atom

Cell lengths 4.3846, 3.4261, 7.5014 Å; angles 64.89, 90.00, 90.00 degrees
Atoms (fractional coordinates):
Sb  0.0000  0.0060  0.9854
Sb  0.0000  0.4940  0.5146
Ca  0.5000  0.2500  0.2500
Li  0.5000  0.7500  0.7500

---

No. 2
Compound: Sm2TiC
Source: Alexandria
Functional: GGA-PBE
Structure: optimized geometry

Properties
**ρ**: 6.1 Mg/m³
**DOS at the Fermi energy**: 4.68 states/eV/cell
**Calculated formation energy**: 0.35 eV per atom
**Total moment**: 2.48 μB per formula unit

Cell lengths 3.5155, 3.5155, 9.4665 Å; angles 79.30, 79.30, 60.00 degrees
Last column: magnetic moment on the atom in μB.
Atoms (fractional coordinates):
Sm  0.1155  0.1155  0.6534  0.06
Sm  0.8845  0.8845  0.3466  0.06
C  0.5000  0.5000  0.5000  0.01
Ti  0.0000  0.0000  0.0000  1.59

---

No. 3
Compound: LaPr7Tm3
Source: Alexandria
Functional: GGA-PBE
Structure: optimized geometry

Properties
**ρ**: 6.9 Mg/m³
**DOS at the Fermi energy**: 15.22 states/eV/cell
**Calculated formation energy**: 0.21 eV per atom
**Total moment**: 0.00 μB per formula unit
**Offset from the most stable computed form**: 25 meV/atom

Cell lengths 6.4965, 7.8598, 7.8597 Å; angles 81.76, 94.67, 94.67 degrees
Atoms (fractional coordinates):
Pr  0.2590  0.5783  0.9303
Pr  0.7857  0.7665  0.7665
Pr  0.2590  0.9303  0.5783
Pr  0.7410  0.0697  0.4217
Pr  0.7410  0.4217  0.0697
Pr  0.0000  0.5000  0.5000
Pr  0.2143  0.2335  0.2335
Tm  0.0000  0.1670  0.8330
Tm  0.5000  0.0000  0.0000
Tm  0.0000  0.8330  0.1670
La  0.5000  0.5000  0.5000

---

No. 4
Compound: UTaGe2Ru5
Source: Alexandria
Functional: GGA-PBE
Structure: optimized geometry

Properties
**ρ**: 10.4 Mg/m³
**DOS at the Fermi energy**: 14.02 states/eV/cell
**Calculated formation energy**: 0.40 eV per atom
**Total moment**: 0.67 μB per formula unit

Cell lengths 3.7289, 3.7289, 12.3101 Å; angles 90.00, 90.00, 90.00 degrees
Last column: magnetic moment on the atom in μB.
Atoms (fractional coordinates):
U  0.0000  0.0000  0.0000  -0.06
Ge  0.0000  0.0000  0.3023  -0.01
Ge  0.0000  0.0000  0.6977  -0.01
Ru  0.5000  0.0000  0.1594  0.05
Ru  0.0000  0.5000  0.8406  0.05
Ru  0.0000  0.5000  0.1594  0.05
Ru  0.5000  0.0000  0.8406  0.05
Ru  0.0000  0.0000  0.5000  -0.06
Ta  0.5000  0.5000  0.5000  0.42

---

No. 5
Compound: LiMn2SbH
Source: Alexandria
Functional: GGA-PBE
Structure: optimized geometry

Properties
**ρ**: 6.6 Mg/m³
**DOS at the Fermi energy**: 1.89 states/eV/cell
**Raw total energy**: -0.2073 Ha/atom
**Total moment**: 5.25 μB per formula unit

Cell lengths 3.8387, 3.8387, 4.0746 Å; angles 90.00, 90.00, 90.00 degrees
Last column: magnetic moment on the atom in μB.
Atoms (fractional coordinates):
H  0.0000  0.0000  0.0000  -0.03
Mn  0.0000  0.5000  0.0000  2.60
Mn  0.5000  0.0000  0.0000  2.60
Sb  0.5000  0.5000  0.5000  -0.08
Li  0.0000  0.0000  0.5000  -0.04

---

No. 6
Compound: Sn6PSe3S2
Source: Alexandria
Functional: GGA-PBE
Structure: optimized geometry

Properties
**ρ**: 5.6 Mg/m³
**DOS at the Fermi energy**: 5.25 states/eV/cell
**Uncorrected formation energy**: -328 meV/atom
**Total moment**: 0.00 μB per formula unit

Cell lengths 7.2410, 7.2410, 7.2133 Å; angles 99.59, 99.59, 120.18 degrees
Atoms (fractional coordinates):
Sn  0.0785  0.4021  0.2345
Sn  0.2439  0.2439  0.7606
Sn  0.7561  0.7561  0.2394
Sn  0.9215  0.5979  0.7655
Sn  0.4021  0.0785  0.2345
Sn  0.5979  0.9215  0.7655
Se  0.1631  0.8369  0.5000
Se  0.8369  0.1631  0.5000
Se  0.5000  0.5000  0.5000
S  0.3314  0.6686  0.0000
S  0.6686  0.3314  0.0000
P  0.0000  0.0000  0.0000

---

No. 7
Compound: Th2ClF7
Source: Alexandria
Functional: GGA-PBE
Structure: optimized geometry

Properties
**ρ**: 6.0 Mg/m³
**DOS at the Fermi energy**: 0.00 states/eV/cell
**Uncorrected formation energy**: -3824 meV/atom
**Total moment**: 0.11 μB per formula unit

Cell lengths 4.5485, 6.4183, 6.4183 Å; angles 104.10, 100.94, 79.06 degrees
Last column: magnetic moment on the atom in μB.
Atoms (fractional coordinates):
Th  0.5775  0.2663  0.7337  0.00
Th  0.4225  0.7337  0.2663  0.00
F  0.6002  0.0697  0.3731  0.00
F  0.5000  0.5000  0.5000  0.00
F  0.6002  0.6269  0.9303  0.00
F  0.0531  0.3221  0.6779  0.00
F  0.3998  0.9303  0.6269  0.00
F  0.9469  0.6779  0.3221  0.00
F  0.3998  0.3731  0.0697  0.00
Cl  0.0000  0.0000  0.0000  -0.07

---

No. 8
Compound: CrInReP
Source: Alexandria
Functional: GGA-PBE
Structure: optimized geometry

Properties
**ρ**: 8.7 Mg/m³
**DOS at the Fermi energy**: 1.31 states/eV/cell
**Calculated formation energy**: 0.11 eV per atom
**Total moment**: 0.00 μB per formula unit
**Offset from the most stable computed form**: 86 meV/atom

Cell lengths 3.9327, 3.9327, 5.4900 Å; angles 90.00, 90.00, 120.00 degrees
Atoms (fractional coordinates):
Cr  0.6667  0.3333  0.5675
In  0.6667  0.3333  0.0678
P  0.3333  0.6667  0.6515
Re  0.0000  0.0000  0.4262

---

No. 9
Compound: PrCuAu
Source: Alexandria
Functional: GGA-PBE
Structure: optimized geometry

Properties
**ρ**: 10.2 Mg/m³
**DOS at the Fermi energy**: 4.20 states/eV/cell
**Calculated formation energy**: -0.52 eV per atom
**Total moment**: 0.00 μB per formula unit
**Offset from the most stable computed form**: 2 meV/atom

Cell lengths 4.4700, 5.8047, 5.9326 Å; angles 77.10, 67.87, 67.35 degrees
Atoms (fractional coordinates):
Au  0.8230  0.2203  0.1337
Au  0.1770  0.7797  0.8663
Cu  0.1497  0.3912  0.3093
Cu  0.8503  0.6088  0.6907
Pr  0.4629  0.7886  0.2855
Pr  0.5371  0.2114  0.7145

---

No. 10
Compound: LiTc2Ni
Source: Alexandria
Functional: GGA-PBE
Structure: optimized geometry

Properties
**ρ**: 8.4 Mg/m³
**DOS at the Fermi energy**: 2.94 states/eV/cell
**Calculated formation energy**: 0.15 eV per atom
**Total moment**: 0.00 μB per formula unit
**Offset from the most stable computed form**: 40 meV/atom

Cell lengths 4.7688, 4.7688, 4.7688 Å; angles 136.07, 136.07, 63.88 degrees
Atoms (fractional coordinates):
Tc  0.0000  0.0000  0.0000
Tc  0.5000  0.5000  0.0000
Li  0.2500  0.7500  0.5000
Ni  0.7500  0.2500  0.5000

---

No. 11
Compound: NdDy2Ho6
Source: Alexandria
Functional: GGA-PBE
Structure: optimized geometry

Properties
**ρ**: 8.2 Mg/m³
**DOS at the Fermi energy**: 12.39 states/eV/cell
**Calculated formation energy**: 0.35 eV per atom
**Total moment**: 0.00 μB per formula unit
**Offset from the most stable computed form**: 277 meV/atom

Cell lengths 7.3285, 7.3285, 7.6212 Å; angles 61.26, 61.26, 60.00 degrees
Atoms (fractional coordinates):
Ho  0.6141  0.0476  0.2907
Ho  0.0476  0.0476  0.2907
Ho  0.7825  0.2610  0.6956
Ho  0.2610  0.7825  0.6956
Ho  0.2610  0.2610  0.6956
Ho  0.0476  0.6141  0.2907
Dy  0.5798  0.5798  0.2607
Dy  0.7556  0.7556  0.7331
Nd  0.3166  0.3166  0.0504

---

No. 12
Compound: Pm6Dy2In
Source: Alexandria
Functional: GGA-PBE
Structure: optimized geometry

Properties
**ρ**: 7.5 Mg/m³
**DOS at the Fermi energy**: 24.76 states/eV/cell
**Calculated formation energy**: -0.10 eV per atom
**Total moment**: 0.00 μB per formula unit
**Offset from the most stable computed form**: 0 meV/atom

Cell lengths 6.2945, 11.9629, 11.1796 Å; angles 46.29, 106.36, 105.27 degrees
Atoms (fractional coordinates):
In  0.6707  0.7499  0.2501
In  0.3293  0.2501  0.7499
Dy  0.4440  0.1953  0.3582
Dy  0.1096  0.6954  0.8582
Dy  0.8904  0.3046  0.1418
Dy  0.5560  0.8047  0.6418
Pm  0.1236  0.8649  0.0291
Pm  0.2435  0.4716  0.3087
Pm  0.2299  0.6354  0.4703
Pm  0.4628  0.0287  0.1907
Pm  0.8764  0.1351  0.9709
Pm  0.3282  0.4147  0.9105
Pm  0.0036  0.0856  0.5893
Pm  0.7701  0.3646  0.5297
Pm  0.7565  0.5284  0.6913
Pm  0.6718  0.5853  0.0895
Pm  0.9964  0.9144  0.4108
Pm  0.5372  0.9713  0.8093

---

No. 13
Compound: Ce3Tl2
Source: Alexandria
Functional: GGA-PBE
Structure: optimized geometry

Properties
**ρ**: 9.9 Mg/m³
**DOS at the Fermi energy**: 24.00 states/eV/cell
**Calculated formation energy**: -0.13 eV per atom
**Total moment**: 1.43 μB per formula unit
**Offset from the most stable computed form**: 0 meV/atom

Cell lengths 5.8712, 6.5372, 8.6061 Å; angles 81.19, 70.06, 63.32 degrees
Last column: magnetic moment on the atom in μB.
Atoms (fractional coordinates):
Tl  0.1262  0.4124  0.0954  0.00
Tl  0.9715  0.9124  0.4046  0.00
Tl  0.6339  0.5876  0.9046  0.00
Tl  0.2886  0.0876  0.5954  0.00
Ce  0.9963  0.0000  0.0000  0.37
Ce  0.5729  0.8997  0.1982  0.42
Ce  0.2225  0.6003  0.6982  0.42
Ce  0.5211  0.3997  0.3018  0.42
Ce  0.6708  0.1003  0.8018  0.42
Ce  0.7463  0.5000  0.5000  0.37

---

No. 14
Compound: CsSeBr3
Source: Alexandria
Functional: GGA-PBE
Structure: optimized geometry

Properties
**ρ**: 3.5 Mg/m³
**DOS at the Fermi energy**: 0.00 states/eV/cell
**Uncorrected formation energy**: -765 meV/atom
**Total moment**: 0.00 μB per formula unit

Cell lengths 28.1278, 8.6138, 8.7552 Å; angles 90.00, 156.51, 90.00 degrees
Atoms (fractional coordinates):
Cs  0.9280  0.2529  0.5358
Cs  0.4280  0.2471  0.0358
Cs  0.5720  0.7529  0.9642
Cs  0.0720  0.7471  0.4642
Se  0.6594  0.2475  0.2284
Se  0.3406  0.7525  0.7716
Se  0.8406  0.7475  0.2716
Se  0.1594  0.2525  0.7284
Br  0.8081  0.5760  0.9323
Br  0.4624  0.3313  0.7122
Br  0.3081  0.9240  0.4323
Br  0.9624  0.1687  0.2122
Br  0.6919  0.0760  0.5677
Br  0.1919  0.4240  0.0677
Br  0.1752  0.0987  0.5188
Br  0.6752  0.4013  0.0188
Br  0.3248  0.5987  0.9812
Br  0.5376  0.6687  0.2878
Br  0.8248  0.9013  0.4812
Br  0.0376  0.8313  0.7878

---

No. 15
Compound: CaPdS2N
Source: Alexandria
Functional: GGA-PBE
Structure: optimized geometry

Properties
**ρ**: 3.3 Mg/m³
**DOS at the Fermi energy**: 8.46 states/eV/cell
**Uncorrected formation energy**: 1164 meV/atom
**Total moment**: 0.15 μB per formula unit
**Offset from the most stable computed form**: 1293 meV/atom

Cell lengths 5.1727, 5.1727, 4.2695 Å; angles 90.00, 90.00, 90.00 degrees
Last column: magnetic moment on the atom in μB.
Atoms (fractional coordinates):
N  0.0000  0.0000  0.5000  0.07
Ca  0.0000  0.0000  0.0000  0.02
Pd  0.5000  0.5000  0.5000  -0.09
S  0.5000  0.0000  0.0000  -0.06
S  0.0000  0.5000  0.0000  -0.06

---

No. 16
Compound: Li4Cd4Ag3
Source: Alexandria
Functional: GGA-PBE
Structure: optimized geometry

Properties
**ρ**: 6.7 Mg/m³
**DOS at the Fermi energy**: 4.01 states/eV/cell
**Calculated formation energy**: -0.18 eV per atom
**Total moment**: 0.00 μB per formula unit
**Offset from the most stable computed form**: 9 meV/atom

Cell lengths 2.9305, 4.5452, 16.1554 Å; angles 97.95, 110.41, 89.92 degrees
Atoms (fractional coordinates):
Ag  0.4971  0.3614  0.7255
Ag  0.5029  0.6386  0.2745
Ag  0.0000  0.0000  0.0000
Cd  0.7630  0.5502  0.0981
Cd  0.2369  0.4499  0.9019
Cd  0.2541  0.1858  0.3703
Cd  0.7459  0.8142  0.6297
Li  0.0324  0.2743  0.5487
Li  0.5547  0.0937  0.1843
Li  0.4452  0.9064  0.8157
Li  0.9677  0.7258  0.4513

---

No. 17
Compound: CoNiH
Source: Alexandria
Functional: GGA-PBE
Structure: optimized geometry

Properties
**ρ**: 8.3 Mg/m³
**DOS at the Fermi energy**: 5.85 states/eV/cell
**Raw total energy**: -0.1986 Ha/atom
**Total moment**: 1.71 μB per formula unit

Cell lengths 2.5498, 3.6113, 5.1580 Å; angles 90.00, 90.02, 90.00 degrees
Last column: magnetic moment on the atom in μB.
Atoms (fractional coordinates):
Ni  0.7501  0.2500  0.1307  0.26
Ni  0.2499  0.7500  0.8693  0.26
H  0.7501  0.7500  0.1285  -0.01
H  0.2499  0.2500  0.8715  -0.01
Co  0.7498  0.2500  0.6100  1.51
Co  0.2502  0.7500  0.3900  1.51

---

No. 18
Compound: ThZnGa
Source: Alexandria
Functional: GGA-PBE
Structure: optimized geometry

Properties
**ρ**: 9.1 Mg/m³
**DOS at the Fermi energy**: 6.38 states/eV/cell
**Calculated formation energy**: -0.45 eV per atom
**Total moment**: 0.00 μB per formula unit

Cell lengths 4.2426, 4.2426, 8.0561 Å; angles 105.27, 105.27, 90.00 degrees
Atoms (fractional coordinates):
Zn  0.6676  0.1676  0.3351
Zn  0.8324  0.3324  0.6649
Ga  0.9160  0.9160  0.8319
Ga  0.0840  0.0840  0.1681
Th  0.2500  0.7500  0.5000
Th  0.5000  0.5000  0.0000

---

No. 19
Compound: KFeSbI2
Source: Alexandria
Functional: GGA-PBE
Structure: optimized geometry

Properties
**ρ**: 4.5 Mg/m³
**DOS at the Fermi energy**: 4.36 states/eV/cell
**Uncorrected formation energy**: -186 meV/atom
**Total moment**: 1.97 μB per formula unit
**Offset from the most stable computed form**: 0 meV/atom

Cell lengths 5.9392, 5.9392, 4.8885 Å; angles 90.00, 90.00, 90.00 degrees
Last column: magnetic moment on the atom in μB.
Atoms (fractional coordinates):
I  0.5000  0.0000  0.0000  -0.02
I  0.0000  0.5000  0.0000  -0.02
Sb  0.0000  0.0000  0.5000  -0.23
Fe  0.0000  0.0000  0.0000  2.39
K  0.5000  0.5000  0.5000  0.00

---

No. 20
Compound: Na2CeUO6
Source: Alexandria
Functional: GGA-PBE
Structure: optimized geometry

Properties
**ρ**: 5.9 Mg/m³
**DOS at the Fermi energy**: 0.00 states/eV/cell
**Uncorrected formation energy**: -2833 meV/atom
**Total moment**: 0.00 μB per formula unit

Cell lengths 5.8297, 5.9796, 8.3684 Å; angles 90.00, 90.04, 90.00 degrees
Atoms (fractional coordinates):
O  0.5977  0.0377  0.2603
O  0.6865  0.2892  0.5541
O  0.2923  0.6907  0.0492
O  0.0977  0.4623  0.7603
O  0.7077  0.3093  0.9508
O  0.8135  0.7892  0.9459
O  0.9023  0.5377  0.2397
O  0.4023  0.9623  0.7397
O  0.7923  0.8093  0.5492
O  0.3135  0.7108  0.4459
O  0.1865  0.2108  0.0541
O  0.2077  0.1907  0.4508
Na  0.4935  0.4656  0.2485
Na  0.0065  0.9656  0.2515
Na  0.5065  0.5344  0.7515
Na  0.9935  0.0344  0.7485
U  0.0000  0.5000  0.0000
U  0.5000  0.0000  0.5000
Ce  0.0000  0.5000  0.5000
Ce  0.5000  0.0000  0.0000